(1)
Here is a crystal of CoRe2Tc relaxed with PBEsol from Alexandria via LeMat-Bulk. Energies are from meta-GGA SCAN.

**ΔE_f**: 0.29 eV/f.u.
**Energy**: -194.27 eV for the cell shown

Unit cell a=3.784 b=3.784 c=4.586 alpha=114.37 beta=114.37 gamma=90.00
Fractional coordinates of all 4 atoms:
1 Re 0.000 0.000 0.000
2 Re 0.750 0.250 0.500
3 Co 0.250 0.750 0.500
4 Tc 0.500 0.500 0.000

(2)
Here is a crystal of K2InP relaxed with PBEsol from Alexandria via LeMat-Bulk. Energies are from meta-GGA SCAN.

**ΔE_f**: -1.49 eV/f.u.
**Energy**: -61.94 eV for the cell shown

Unit cell a=3.966 b=5.518 c=6.664 alpha=114.45 beta=107.31 gamma=90.00
Fractional coordinates of all 4 atoms:
1 P 0.537 0.537 0.074
2 K 0.978 0.978 0.956
3 K 0.803 0.303 0.607
4 In 0.181 0.681 0.363

(3)
Here is a crystal of Sc2RhPb relaxed with PBEsol from Alexandria via LeMat-Bulk. Energies are from meta-GGA SCAN.

**ΔE_f**: -1.62 eV/f.u.
**Energy**: -139.65 eV for the cell shown

Unit cell a=3.324 b=3.324 c=7.332 alpha=90.00 beta=90.00 gamma=90.00
Fractional coordinates of all 4 atoms:
1 Pb 0.000 0.000 0.530
2 Rh 0.500 0.500 0.762
3 Sc 0.000 0.000 0.954
4 Sc 0.500 0.500 0.254

(4)
Here is a crystal of NaCl relaxed with PBEsol from Alexandria via LeMat-Bulk. Energies are from meta-GGA SCAN.

**Raw formation energy**: -1.98 eV/atom
**Energy**: -32.30 eV for the cell shown

Unit cell a=4.716 b=4.716 c=5.569 alpha=90.00 beta=90.00 gamma=120.00
Fractional coordinates of all 4 atoms:
1 Na 0.333 0.667 0.750
2 Na 0.667 0.333 0.250
3 Cl 0.333 0.667 0.250
4 Cl 0.667 0.333 0.750

(5)
Here is a crystal of Ca2CdPt relaxed with PBEsol from Alexandria via LeMat-Bulk. Energies are from meta-GGA SCAN.

**ΔE_f**: -2.43 eV/f.u.
**Energy**: -122.37 eV for the cell shown

Unit cell a=3.571 b=4.925 c=6.303 alpha=113.00 beta=106.45 gamma=90.00
Fractional coordinates of all 4 atoms:
1 Ca 0.955 0.455 0.911
2 Ca 0.754 0.754 0.509
3 Pt 0.241 0.241 0.483
4 Cd 0.549 0.049 0.098

(6)
Here is a crystal of As5W3 relaxed with PBEsol from Alexandria via LeMat-Bulk. Energies are from meta-GGA SCAN.

**ΔE_f**: 4.16 eV/f.u.
**Energy**: -305.86 eV for the cell shown

Unit cell a=4.428 b=5.531 c=5.531 alpha=110.80 beta=90.00 gamma=90.00
Fractional coordinates of all 8 atoms:
1 As 0.000 0.000 0.000
2 As 0.000 0.000 0.500
3 As 0.000 0.500 0.000
4 As 0.500 0.266 0.266
5 As 0.500 0.734 0.734
6 W 0.000 0.500 0.500
7 W 0.500 0.732 0.268
8 W 0.500 0.268 0.732